[1]
The following is a DFT calculation (PBE) of a geometry-optimized MgMo2PdBr structure.

## Properties
Formation energy without anion corrections (eV/f.u.): 6.23

abc: 4.989 4.989 5.059
angles: 90.00 90.00 90.00
Space group P4/mmm (No. 123)
Unique sites:
Mg: 0.000 0.000 0.000 (multiplicity 1)
Mo: 0.000 0.500 0.500 (multiplicity 2)
Pd: 0.000 0.000 0.500 (multiplicity 1)
Br: 0.500 0.500 0.000 (multiplicity 1)

=====

[2]
The following is a DFT calculation (PBE) of a geometry-optimized LaInGa2Ni structure.

## Properties
VASP energy (eV per cell): -21.26

abc: 4.702 4.702 4.919
angles: 90.00 90.00 90.00
Space group P4/mmm (No. 123)
Unique sites:
La: 0.000 0.000 0.000 (multiplicity 1)
In: 0.500 0.500 0.000 (multiplicity 1)
Ga: 0.000 0.500 0.500 (multiplicity 2)
Ni: 0.500 0.500 0.500 (multiplicity 1)

=====

[3]
The following is a DFT calculation (PBE) of a geometry-optimized PuU2ReC4 structure.

## Properties
VASP energy (eV per cell): -343.87

abc: 3.500 11.630 11.684
angles: 90.00 90.00 90.00
Space group Cmcm (No. 63)
Unique sites:
Pu: 0.000 0.113 0.250 (multiplicity 4)
U: 0.000 0.371 0.045 (multiplicity 8)
Re: 0.000 0.146 0.750 (multiplicity 4)
C: 0.000 0.000 0.000 (multiplicity 4)
C: 0.000 0.262 0.622 (multiplicity 8)
C: 0.000 0.452 0.250 (multiplicity 4)

=====

[4]
The following is a DFT calculation (PBE) of a geometry-optimized Ce4SiAs2Se structure.

## Properties
Formation energy without anion corrections (eV/f.u.): -10.55

abc: 7.292 4.212 7.294
angles: 90.00 109.45 90.00
Space group P2/m (No. 10)
Unique sites:
Ce: 0.246 0.000 0.248 (multiplicity 2)
Ce: 0.247 0.500 0.749 (multiplicity 2)
Si: 0.000 0.000 0.500 (multiplicity 1)
As: 0.000 0.500 0.000 (multiplicity 1)
As: 0.500 0.000 0.000 (multiplicity 1)
Se: 0.500 0.500 0.500 (multiplicity 1)

=====

[5]
The following is a DFT calculation (PBE) of a geometry-optimized Ac6Bi2TeAs3 structure.

## Properties
Formation energy without anion corrections (eV/f.u.): -16.19

abc: 20.491 4.669 9.421
angles: 90.00 104.03 90.00
Space group C2/m (No. 12)
Unique sites:
Ac: 0.005 0.000 0.236 (multiplicity 4)
Ac: 0.163 0.500 0.093 (multiplicity 4)
Ac: 0.172 0.500 0.573 (multiplicity 4)
Bi: 0.165 0.000 0.831 (multiplicity 4)
Te: 0.000 0.500 0.500 (multiplicity 2)
As: 0.000 0.500 0.000 (multiplicity 2)
As: 0.166 0.000 0.334 (multiplicity 4)

=====

[6]
The following is a DFT calculation (PBE) of a geometry-optimized Sc2HgGe structure.

## Properties
VASP energy (eV per cell): -74.21

abc: 7.501 7.501 6.527
angles: 90.00 90.00 90.00
Space group I-42d (No. 122)
Unique sites:
Sc: 0.231 0.250 0.125 (multiplicity 8)
Hg: 0.000 0.000 0.500 (multiplicity 4)
Ge: 0.000 0.000 0.000 (multiplicity 4)

=====

[7]
The following is a DFT calculation (PBE) of a geometry-optimized Ba2SrAu structure.

## Properties
Energy above the lowest structure with this stoichiometry (eV per atom): 0.007

abc: 4.449 14.723 11.252
angles: 90.00 90.00 90.00
Space group Cmcm (No. 63)
Unique sites:
Ba: 0.000 0.141 0.071 (multiplicity 8)
Sr: 0.000 0.410 0.250 (multiplicity 4)
Au: 0.000 0.247 0.750 (multiplicity 4)

=====

[8]
The following is a DFT calculation (PBE) of a geometry-optimized AlCr3Rh structure.

## Properties
Energy above the lowest structure with this stoichiometry (eV per atom): 0.000

abc: 4.692 4.692 4.692
angles: 90.00 90.00 90.00
Space group Pm-3m (No. 221)
Unique sites:
Al: 0.000 0.000 0.000 (multiplicity 1)
Cr: 0.000 0.500 0.500 (multiplicity 3)
Rh: 0.500 0.500 0.500 (multiplicity 1)

=====

Question: What is the formula in the third record?
Answer: PuU2ReC4